Entry 1:
## Pr4Zn2Pd (PBE)

Data for Pr4Zn2Pd after structural relaxation.

Unit cell a=8.939 b=8.939 c=8.939 alpha=33.77 beta=33.77 gamma=33.77
Atoms (fractional coordinates):
Pr  0.124  0.124  0.124
Pr  0.375  0.375  0.375
Pr  0.625  0.625  0.625
Pr  0.876  0.876  0.876
Zn  0.252  0.252  0.252
Zn  0.748  0.748  0.748
Pd  0.500  0.500  0.500

Calculated values
* M_tot: 0.0 Bohr magnetons per cell
* crystal system: trigonal
* calculated volume: 196.66 Å³ per cell
* total DFT energy (no corrections): -4.10 eV/atom


Entry 2:
## Ac2ThAs2O2 (PBE)

Data for Ac2ThAs2O2 after structural relaxation.

Unit cell a=9.255 b=9.255 c=9.255 alpha=151.62 beta=151.62 gamma=40.56
Atoms (fractional coordinates):
Ac  0.148  0.148  0.000
Ac  0.852  0.852  0.000
Th  0.500  0.500  0.000
As  0.326  0.326  0.000
As  0.674  0.674  0.000
O  0.000  0.500  0.500
O  0.500  0.000  0.500

Calculated values
* M_tot: 0.0 Bohr magnetons per cell
* formation energy (no corrections): -15.88 eV per formula unit
* crystal system: tetragonal
* calculated volume: 178.71 Å³ per cell
* total DFT energy (no corrections): -7.25 eV/atom


Entry 3:
## Te2Se (PBE)

Data for Te2Se after structural relaxation.

Unit cell a=8.120 b=5.751 c=8.984 alpha=90.00 beta=90.00 gamma=90.00
Atoms (fractional coordinates):
Te  0.001  0.250  0.250
Te  0.250  0.250  0.003
Te  0.250  0.750  0.503
Te  0.499  0.750  0.750
Te  0.501  0.250  0.250
Te  0.750  0.250  0.497
Te  0.750  0.750  0.997
Te  0.999  0.750  0.750
Se  0.249  0.750  0.970
Se  0.251  0.250  0.470
Se  0.749  0.750  0.530
Se  0.751  0.250  0.030

Calculated values
* M_tot: 0.0 Bohr magnetons per cell
* energy above the most stable polymorph in this dataset: 0.0000 eV per atom
* formation energy (no corrections): 0.12 eV per formula unit
* crystal system: orthorhombic
* calculated volume: 419.49 Å³ per cell
* total DFT energy (no corrections): -3.21 eV/atom


Entry 4:
## AcTlO2 (PBE)

Data for AcTlO2 after structural relaxation.

Unit cell a=7.288 b=7.288 c=7.288 alpha=30.99 beta=30.99 gamma=30.99
Atoms (fractional coordinates):
Ac  0.000  0.000  0.000
Tl  0.815  0.815  0.815
O  0.405  0.405  0.405
O  0.623  0.623  0.623

Calculated values
* M_tot: 0.0 Bohr magnetons per cell
* energy above the most stable polymorph in this dataset: 0.0000 eV per atom
* formation energy (no corrections): -8.71 eV per formula unit
* crystal system: trigonal
* calculated volume: 91.07 Å³ per cell
* total DFT energy (no corrections): -6.28 eV/atom


Please write out number 1 again, unchanged.
## Pr4Zn2Pd (PBE)

Data for Pr4Zn2Pd after structural relaxation.

Unit cell a=8.939 b=8.939 c=8.939 alpha=33.77 beta=33.77 gamma=33.77
Atoms (fractional coordinates):
Pr  0.124  0.124  0.124
Pr  0.375  0.375  0.375
Pr  0.625  0.625  0.625
Pr  0.876  0.876  0.876
Zn  0.252  0.252  0.252
Zn  0.748  0.748  0.748
Pd  0.500  0.500  0.500

Calculated values
* M_tot: 0.0 Bohr magnetons per cell
* crystal system: trigonal
* calculated volume: 196.66 Å³ per cell
* total DFT energy (no corrections): -4.10 eV/atom